# 1
Material: InRu3Se
Method: DFT, PBE-GGA
State: optimized geometry

Calculated values
crystal system: cubic
ρ: 6.9 g/cm³
raw total energy: -4.764 eV/atom
size of the total moment: 6.499 μB/f.u.

a = 4.931 Å, b = 4.931 Å, c = 4.931 Å
α = 90.00°, β = 90.00°, γ = 90.00°
Space group Pm-3m (No. 221)
Symmetry-distinct sites (fractional):
In  0.000  0.000  0.000 [1 per cell]
Ru  0.000  0.000  0.500 [3 per cell]
Se  0.500  0.500  0.500 [1 per cell]

# 2
Material: SrTlSnAu
Method: DFT, PBE-GGA
State: optimized geometry

Calculated values
crystal system: cubic
ρ: 9.4 g/cm³
raw total energy: -3.221 eV/atom
size of the total moment: 0.000 μB/f.u.
energy of formation: -1.6 eV per formula unit

a = 7.550 Å, b = 7.550 Å, c = 7.550 Å
α = 90.00°, β = 90.00°, γ = 90.00°
Space group F-43m (No. 216)
Symmetry-distinct sites (fractional):
Sr  0.000  0.000  0.000 [4 per cell]
Tl  0.250  0.250  0.250 [4 per cell]
Sn  0.000  0.000  0.500 [4 per cell]
Au  0.250  0.250  0.750 [4 per cell]

# 3
Material: EuThCuPd
Method: DFT, PBE-GGA
State: optimized geometry

Calculated values
crystal system: cubic
ρ: 9.8 g/cm³
raw total energy: -7.087 eV/atom
size of the total moment: 7.073 μB/f.u.
energy of formation: -1.4 eV per formula unit

a = 7.220 Å, b = 7.220 Å, c = 7.220 Å
α = 90.00°, β = 90.00°, γ = 90.00°
Space group F-43m (No. 216)
Symmetry-distinct sites (fractional):
Eu  0.000  0.000  0.000 [4 per cell]
Th  0.000  0.000  0.500 [4 per cell]
Cu  0.250  0.250  0.250 [4 per cell]
Pd  0.250  0.250  0.750 [4 per cell]